1.
A plane-wave DFT calculation with PBE-GGA was carried out for crystalline P2BrO at its relaxed geometry.

Summary:
ΔE_f (raw) ... 0.947 eV per formula unit
ρ ... 3575 kg/m3
N(E_F) ... 2.04 states/eV/f.u.
Calculated volume ... 18.33 Å³ per atom

Geometry as POSCAR:
```
P2BrO
1.0
-4.0808 1.5896 -1.6655
-0.0444 -3.4432 -3.1775
-5.3443 -4.8497 1.8753
Br O P
2 2 4
Cartesian
0.0000 0.0000 0.0000 Br
-5.7439 -2.0935 -1.1058 Br
-2.0626 -0.9268 -2.4215 O
-3.7256 -4.6098 -1.8619 O
-2.7020 -1.1129 -0.4836 P
-3.0641 -2.7021 -2.2110 P
-7.6048 -4.2550 -1.9045 P
-5.5681 -5.3366 -1.3364 P
```

2.
A plane-wave DFT calculation with PBE-GGA was carried out for crystalline KCr2Si at its relaxed geometry.

Summary:
ΔE_f (raw) ... 2.290 eV per formula unit
ρ ... 3645 kg/m3
N(E_F) ... 3.47 states/eV/f.u.
Calculated volume ... 19.50 Å³ per atom

Geometry as POSCAR:
```
KCr2Si
1.0
3.2376 0.0000 0.0000
0.0000 3.2376 0.0000
0.0000 0.0000 7.4393
Cr K Si
2 1 1
Cartesian
0.0000 0.0000 6.5575 Cr
0.0000 0.0000 4.6014 Cr
1.6188 1.6188 1.8598 K
1.6188 1.6188 5.5795 Si
```